Entry 1:
VASP calculation (PBE-GGA) on Y2AlAs after structural relaxation.

Cell lengths 4.907, 5.113, 7.720 Å; angles 90.00, 90.00, 90.00 degrees
Space group Cmm2 (No. 35)
Symmetry-distinct sites (fractional):
Y: 0.000 0.000 0.000 x2
Y: 0.000 0.500 0.345 x2
Al: 0.000 0.500 0.743 x2
As: 0.000 0.000 0.596 x2

Properties
Energy of formation from the pure elements = -0.405 eV/atom

---

Entry 2:
VASP calculation (PBE-GGA) on LiPuSb2 after structural relaxation.

Cell lengths 4.775, 4.775, 4.249 Å; angles 90.00, 90.00, 90.00 degrees
Space group P4/mmm (No. 123)
Symmetry-distinct sites (fractional):
Li: 0.000 0.000 0.000 x1
Pu: 0.500 0.500 0.000 x1
Sb: 0.000 0.500 0.500 x2

Properties
Final energy = -6.65 eV/atom

---

Entry 3:
VASP calculation (PBE-GGA) on Ac2SbN2 after structural relaxation.

Cell lengths 9.469, 6.498, 4.486 Å; angles 90.00, 111.50, 90.00 degrees
Space group C2/m (No. 12)
Symmetry-distinct sites (fractional):
Ac: 0.197 0.000 0.233 x4
Sb: 0.000 0.500 0.000 x2
N: 0.053 0.000 0.641 x4

Properties
Final energy = -6.49 eV/atom

---

Entry 4:
VASP calculation (PBE-GGA) on Nd2CuSb after structural relaxation.

Cell lengths 5.134, 5.134, 4.014 Å; angles 90.00, 90.00, 90.00 degrees
Space group P4/mmm (No. 123)
Symmetry-distinct sites (fractional):
Nd: 0.000 0.500 0.000 x2
Cu: 0.000 0.000 0.500 x1
Sb: 0.500 0.500 0.500 x1

Properties
Final energy = -4.97 eV/atom

---

Entry 5:
VASP calculation (PBE-GGA) on BeGaRh4 after structural relaxation.

Cell lengths 3.908, 3.908, 5.764 Å; angles 90.00, 90.00, 90.00 degrees
Space group P4/mmm (No. 123)
Symmetry-distinct sites (fractional):
Be: 0.000 0.000 0.000 x1
Ga: 0.500 0.500 0.500 x1
Rh: 0.000 0.500 0.228 x4

Properties
Energy of formation from the pure elements = -0.085 eV/atom

---

Entry 6:
VASP calculation (PBE-GGA) on Ti5GaNi2 after structural relaxation.

Cell lengths 6.300, 6.300, 12.441 Å; angles 90.00, 90.00, 90.00 degrees
Space group I4/mcm (No. 140)
Symmetry-distinct sites (fractional):
Ti: 0.000 0.000 0.000 x4
Ti: 0.156 0.344 0.154 x16
Ga: 0.000 0.000 0.250 x4
Ni: 0.134 0.366 0.500 x8

Properties
Energy of formation from the pure elements = -0.276 eV/atom

---

Entry 7:
VASP calculation (PBE-GGA) on LaHo2InO after structural relaxation.

Cell lengths 4.803, 4.803, 5.045 Å; angles 90.00, 90.00, 90.00 degrees
Space group P4/mmm (No. 123)
Symmetry-distinct sites (fractional):
La: 0.000 0.000 0.000 x1
Ho: 0.000 0.500 0.500 x2
In: 0.500 0.500 0.000 x1
O: 0.000 0.000 0.500 x1

Properties
Final energy = -5.75 eV/atom

---

Entry 8:
VASP calculation (PBE-GGA) on CsRbZnS2 after structural relaxation.

Cell lengths 5.891, 8.025, 6.847 Å; angles 90.00, 90.00, 90.00 degrees
Space group Pmma (No. 51)
Symmetry-distinct sites (fractional):
Cs: 0.250 0.000 0.209 x2
Rb: 0.250 0.500 0.414 x2
Zn: 0.000 0.500 0.000 x2
S: 0.250 0.293 0.835 x4

Properties
Final energy = -2.98 eV/atom